No. 1
Material: TmCo5B3
Method: DFT, GGA-PBE
State: optimized geometry

Results
density of states at the Fermi level: 16.81 states/eV per cell
formation energy from the elements: -0.279 eV/atom
total energy: -125.1 eV/cell

```
TmCo5B3
1.0
3.432 0.000 0.000
-1.716 5.397 0.000
0.000 0.000 10.266
Tm Co B
2 10 6
Cartesian
1.716 3.631 7.700
0.000 1.766 2.567
1.716 3.213 4.454
0.000 2.184 9.587
0.000 0.000 5.133
0.000 0.000 0.000
0.000 4.788 1.480
1.716 0.609 8.786
1.716 0.609 6.613
1.716 3.213 0.679
0.000 2.184 5.812
0.000 4.788 3.653
0.000 4.153 9.797
1.716 4.028 2.567
0.000 4.153 5.603
1.716 1.244 4.663
0.000 1.370 7.700
1.716 1.244 0.470
```


No. 2
Material: TmCo6B2
Method: DFT, GGA-PBE
State: optimized geometry

Results
density of states at the Fermi level: 22.93 states/eV per cell
formation energy from the elements: 0.150 eV/atom
total energy: -118.2 eV/cell

```
TmCo6B2
1.0
6.907 0.000 0.000
3.454 5.982 0.000
3.454 1.994 5.640
Tm Co B
2 12 4
Cartesian
6.907 3.988 2.820
10.361 5.982 4.230
4.899 2.828 4.459
8.915 5.147 1.180
4.899 5.147 1.180
6.907 6.307 4.459
4.899 2.828 0.230
3.454 0.325 0.230
8.915 2.828 4.459
2.008 1.159 2.590
4.899 1.159 2.590
3.454 3.663 2.590
6.907 1.669 1.180
2.008 2.828 0.230
1.727 0.997 0.705
3.454 3.988 0.705
3.454 1.994 3.525
5.180 0.997 0.705
```


No. 3
Material: Tm3Co2B9
Method: DFT, GGA-PBE
State: optimized geometry

Results
density of states at the Fermi level: 7.24 states/eV per cell
formation energy from the elements: -0.301 eV/atom
total energy: -91.9 eV/cell

```
Tm3Co2B9
1.0
-0.383 1.928 2.490
6.028 -1.880 4.404
6.822 3.554 0.319
Tm Co B
3 2 9
Cartesian
0.000 0.000 0.000
3.236 1.859 3.101
9.232 1.743 4.113
6.374 2.760 2.885
6.094 0.842 4.328
6.425 0.837 2.362
4.805 3.754 1.874
7.663 -0.153 5.339
4.244 -0.087 4.762
8.224 3.689 2.451
7.476 1.482 6.066
4.992 2.120 1.147
7.842 3.986 4.183
4.626 -0.385 3.031
```


No. 4
Material: TmCo12B6
Method: DFT, GGA-PBE
State: optimized geometry

Results
density of states at the Fermi level: 13.47 states/eV per cell
formation energy from the elements: -0.344 eV/atom
total energy: -136.3 eV/cell

```
TmCo12B6
1.0
-2.748 -2.120 4.823
-2.877 -2.547 -4.532
5.289 -2.707 0.051
Tm Co B
1 12 6
Cartesian
0.000 0.000 0.000
-0.215 -3.844 -3.273
2.838 -3.745 1.858
-3.126 -3.471 1.927
-3.174 -3.628 -1.516
2.791 -3.903 -1.586
-0.121 -3.529 3.614
-0.957 -4.704 -1.034
1.241 -4.747 0.200
-0.923 -4.589 1.484
0.621 -2.670 1.375
-1.576 -2.627 0.142
0.587 -2.785 -1.143
1.028 -4.516 2.286
-2.620 -4.445 0.239
0.970 -4.707 -1.892
-1.363 -2.858 -1.945
2.284 -2.929 0.102
-1.306 -2.667 2.234
```


No. 5
Material: TmCoB
Method: DFT, GGA-PBE
State: optimized geometry

Results
density of states at the Fermi level: 2.51 states/eV per cell
formation energy from the elements: -0.507 eV/atom
total energy: -39.5 eV/cell
energy above the most stable polymorph in this dataset: 0 meV per atom

```
TmCoB
1.0
-2.230 2.698 0.311
-2.700 -2.160 -0.626
-0.602 -1.325 7.175
Tm Co B
2 2 2
Cartesian
-3.881 -0.001 1.951
-1.651 -0.787 4.909
-2.583 -0.946 -0.391
-2.348 1.483 0.077
-1.315 -0.047 0.901
-4.218 -0.741 5.960
```


No. 6
Material: TmCoB
Method: DFT, GGA-PBE
State: optimized geometry

Results
density of states at the Fermi level: 2.23 states/eV per cell
formation energy from the elements: -0.383 eV/atom
total energy: -19.4 eV/cell
energy above the most stable polymorph in this dataset: 124 meV per atom

```
TmCoB
1.0
3.880 0.000 0.000
0.000 3.542 0.000
0.000 -1.771 3.068
B Tm Co
1 1 1
Cartesian
0.647 1.771 1.023
2.587 0.000 2.045
0.647 0.000 0.000
```


No. 7
Material: TmCo2B4
Method: DFT, GGA-PBE
State: optimized geometry

Results
density of states at the Fermi level: 5.32 states/eV per cell
formation energy from the elements: -0.378 eV/atom
total energy: -48.0 eV/cell

```
TmCo2B4
1.0
3.001 0.000 -0.684
-0.168 3.160 -0.738
0.031 -0.020 7.058
B Tm Co
4 1 2
Cartesian
1.870 2.069 1.279
0.993 1.071 4.357
0.204 1.891 0.896
2.659 1.249 4.740
1.501 0.000 -0.342
2.309 2.542 3.203
0.555 0.598 2.433
```


No. 8
Material: TmCoB3
Method: DFT, GGA-PBE
State: optimized geometry

Results
density of states at the Fermi level: 5.03 states/eV per cell
formation energy from the elements: -0.121 eV/atom
total energy: -64.4 eV/cell
energy above the most stable polymorph in this dataset: 270 meV per atom

```
TmCoB3
1.0
-2.163 1.482 -1.527
-2.571 0.109 3.748
4.249 5.922 2.743
Tm Co B
2 2 6
Cartesian
-0.339 6.441 3.716
-0.146 1.072 1.247
-2.342 2.228 2.465
1.857 5.285 2.499
0.137 3.556 0.242
-0.622 3.957 4.721
0.429 3.912 3.190
-0.914 3.601 1.774
-0.710 2.644 3.572
0.225 4.869 1.391
```